Record 1
CuSiB PBE-GGA optimized geometry; total magnetic moment = 0.0 μB/f.u.; D(E_F) = 0.108 states/eV/atom; uncorrected energy = -5.21 eV/atom; space-group type = No. 1
1.0
6.000 0.002 -0.070
0.001 3.364 -0.001
2.142 -0.001 3.517
Si B Cu
2 2 2
Direct
0.735 0.701 0.390
0.265 0.200 0.302
0.954 0.200 0.245
0.459 0.701 0.261
0.742 0.208 0.862
0.160 0.697 0.830


Record 2
RbZnIn2Co PBE-GGA optimized geometry; total magnetic moment = 0.0 μB/f.u.; D(E_F) = 0.308 states/eV/atom; uncorrected energy = -2.95 eV/atom; space-group type = No. 123; energy relative to the elements = 0.02 eV/atom
1.0
5.027 0.000 0.000
0.000 5.027 0.000
0.000 0.000 4.990
Zn Co Rb In
1 1 1 2
Direct
0.000 0.000 0.500
0.000 0.000 0.000
0.500 0.500 0.500
0.000 0.500 0.000
0.500 0.000 0.000


Record 3
K2PmBr4 PBE-GGA optimized geometry; total magnetic moment = 0.4 μB/f.u.; D(E_F) = 0.448 states/eV/atom; uncorrected energy = -3.53 eV/atom; space-group type = No. 139
1.0
-2.883 -4.220 2.661
-1.545 -2.167 -5.110
4.763 -8.004 -1.294
K Br Pm
2 4 1
Direct
0.637 0.637 0.725
0.363 0.363 0.275
0.827 0.827 0.345
0.173 0.173 0.655
0.000 0.500 0.000
0.500 0.000 0.000
0.000 0.000 0.000